Sc6CdIn5: optimized geometry, PBE.

Geometry as POSCAR:
```
Sc6CdIn5
1.0
0.078 -2.585 3.798
-5.246 -5.579 -3.688
5.455 -4.754 -0.569
Sc In Cd
6 5 1
direct
0.833 0.751 0.334
0.833 0.249 0.334
0.500 0.250 0.000
0.500 0.750 0.000
0.167 0.751 0.666
0.167 0.249 0.666
0.667 0.500 0.666
0.335 0.000 0.329
0.000 0.500 0.000
0.665 0.000 0.671
0.333 0.500 0.334
0.000 0.000 0.000
```

Properties
* magnetic moment: 0.163 μB/atom
* space group: No. 65
* total energy: -0.1762 hartree per atom

***

Sc5CdIn3: optimized geometry, PBE.

Geometry as POSCAR:
```
Sc5CdIn3
1.0
-2.164 5.034 2.917
-5.385 -5.060 4.736
8.077 1.768 2.941
Sc Cd In
10 2 6
direct
0.000 0.667 0.333
0.500 0.333 0.667
0.000 0.333 0.667
0.500 0.667 0.333
0.750 0.700 0.700
0.750 0.000 0.300
0.750 0.300 0.000
0.250 0.300 0.300
0.250 0.000 0.700
0.250 0.700 0.000
0.000 0.000 0.000
0.500 0.000 0.000
0.750 0.365 0.365
0.750 0.000 0.635
0.750 0.635 0.000
0.250 0.635 0.635
0.250 0.000 0.365
0.250 0.365 0.000
```

Properties
* magnetic moment: 0.000 μB/atom
* space group: No. 193
* total energy: -0.1806 hartree per atom

***

Sc4CdIn2: optimized geometry, PBE.

Geometry as POSCAR:
```
Sc4CdIn2
1.0
4.731 0.000 1.478
2.135 4.222 1.478
-0.060 -0.037 8.503
Sc Cd In
4 1 2
direct
0.871 0.871 0.387
0.129 0.129 0.613
0.618 0.618 0.146
0.382 0.382 0.854
0.000 0.000 0.000
0.749 0.749 0.754
0.251 0.251 0.246
```

Properties
* magnetic moment: 0.000 μB/atom
* space group: No. 166
* total energy: -0.1751 hartree per atom

***

ScCd2In3: optimized geometry, PBE.

Geometry as POSCAR:
```
ScCd2In3
1.0
4.431 0.000 0.000
0.000 4.277 -1.446
0.000 0.079 7.283
Sc Cd In
1 2 3
direct
0.000 0.000 0.000
0.000 0.666 0.332
0.000 0.334 0.668
0.500 0.167 0.334
0.500 0.500 0.000
0.500 0.833 0.666
```

Properties
* magnetic moment: 0.000 μB/atom
* space group: No. 65
* total energy: -0.1062 hartree per atom

***

Number 1: formation enthalpy at 0 K -0.412 eV/atom. Number 2: formation enthalpy at 0 K -0.382 eV/atom. Number 3: formation enthalpy at 0 K -0.235 eV/atom. Number 4: formation enthalpy at 0 K -0.160 eV/atom.